Computed, not measured: AcAlGe after structural relaxation at the PBE-GGA level of DFT.

Summary:
Volume = 77.6 Å³ per cell
Size of the total moment = 0.00 μB per formula unit
Crystal system = trigonal
DFT formation energy = -0.6217 eV/atom
D(E_F) = 0.97 states/eV/cell
Space group = P3m1 (156)
Offset from the most stable computed form = 0.000 eV per atom

Lattice parameters (Å, degrees): 4.376 4.376 4.683 90.00 90.00 120.00
Element x y z (fractional)
Ac (0.000, 0.000, 0.000)
Al (0.333, 0.667, 0.482)
Ge (0.667, 0.333, 0.516)



Computed, not measured: Ac3AlGe4 after structural relaxation at the PBE-GGA level of DFT.

Summary:
Volume = 236.0 Å³ per cell
Size of the total moment = 0.00 μB per formula unit
Crystal system = orthorhombic
DFT formation energy = -0.5621 eV/atom
D(E_F) = 3.30 states/eV/cell
Space group = Immm (71)

Lattice parameters (Å, degrees): 8.929 8.929 8.929 148.43 140.45 51.46
Element x y z (fractional)
Ac (0.000, 0.000, 0.000)
Ac (0.311, 0.811, 0.500)
Ac (0.689, 0.189, 0.500)
Al (0.500, 0.500, 0.000)
Ge (0.086, 0.378, 0.708)
Ge (0.330, 0.622, 0.708)
Ge (0.670, 0.378, 0.292)
Ge (0.914, 0.622, 0.292)



Computed, not measured: AcAl2Ge2 after structural relaxation at the PBE-GGA level of DFT.

Summary:
Volume = 124.6 Å³ per cell
Size of the total moment = 0.00 μB per formula unit
Crystal system = trigonal
DFT formation energy = -0.1781 eV/atom
D(E_F) = 3.06 states/eV/cell
Space group = R-3m (166)
Offset from the most stable computed form = 0.207 eV per atom

Lattice parameters (Å, degrees): 8.413 8.413 8.413 29.10 29.10 29.10
Element x y z (fractional)
Ac (0.000, 0.000, 0.000)
Al (0.215, 0.215, 0.215)
Al (0.785, 0.785, 0.785)
Ge (0.421, 0.421, 0.421)
Ge (0.579, 0.579, 0.579)



Computed, not measured: Ac2AlGe after structural relaxation at the PBE-GGA level of DFT.

Summary:
Volume = 123.6 Å³ per cell
Size of the total moment = 0.00 μB per formula unit
Crystal system = orthorhombic
DFT formation energy = -0.5615 eV/atom
D(E_F) = 3.08 states/eV/cell
Space group = Amm2 (38)

Lattice parameters (Å, degrees): 4.279 6.482 6.482 43.41 90.00 90.00
Element x y z (fractional)
Ac (0.000, 0.000, 0.000)
Ac (0.500, 0.287, 0.287)
Al (0.000, 0.707, 0.707)
Ge (0.500, 0.574, 0.574)



Computed, not measured: AcAlGe2 after structural relaxation at the PBE-GGA level of DFT.

Summary:
Volume = 207.0 Å³ per cell
Size of the total moment = 0.00 μB per formula unit
Crystal system = orthorhombic
DFT formation energy = -0.3971 eV/atom
D(E_F) = 3.11 states/eV/cell
Space group = Cmcm (63)
Offset from the most stable computed form = 0.009 eV per atom

Lattice parameters (Å, degrees): 6.638 6.638 6.038 90.00 90.00 128.93
Element x y z (fractional)
Ac (0.143, 0.857, 0.750)
Ac (0.857, 0.143, 0.250)
Al (0.500, 0.500, 0.000)
Al (0.500, 0.500, 0.500)
Ge (0.097, 0.339, 0.750)
Ge (0.339, 0.097, 0.250)
Ge (0.661, 0.903, 0.750)
Ge (0.903, 0.661, 0.250)



Computed, not measured: Ac2AlGe after structural relaxation at the PBE-GGA level of DFT.

Summary:
Volume = 247.8 Å³ per cell
Size of the total moment = 0.00 μB per formula unit
Crystal system = monoclinic
DFT formation energy = -0.5578 eV/atom
D(E_F) = 5.88 states/eV/cell
Space group = P2_1/m (11)

Lattice parameters (Å, degrees): 6.480 4.277 9.409 90.00 108.09 90.00
Element x y z (fractional)
Ac (0.212, 0.250, 0.428)
Ac (0.284, 0.750, 0.071)
Ac (0.716, 0.250, 0.929)
Ac (0.788, 0.750, 0.572)
Al (0.347, 0.750, 0.719)
Al (0.653, 0.250, 0.281)
Ge (0.147, 0.250, 0.786)
Ge (0.853, 0.750, 0.214)



Computed, not measured: Ac4AlGe5 after structural relaxation at the PBE-GGA level of DFT.

Summary:
Volume = 296.8 Å³ per cell
Size of the total moment = 0.00 μB per formula unit
Crystal system = tetragonal
DFT formation energy = -0.3131 eV/atom
D(E_F) = 11.17 states/eV/cell
Space group = I4 (79)

Lattice parameters (Å, degrees): 7.473 7.473 7.473 101.25 101.25 127.57
Element x y z (fractional)
Ac (0.068, 0.693, 0.762)
Ac (0.307, 0.068, 0.375)
Ac (0.693, 0.932, 0.625)
Ac (0.932, 0.307, 0.238)
Al (0.296, 0.296, 0.000)
Ge (0.273, 0.416, 0.685)
Ge (0.416, 0.731, 0.143)
Ge (0.588, 0.273, 0.857)
Ge (0.731, 0.588, 0.315)
Ge (0.894, 0.894, 0.000)



Computed, not measured: Ac3AlGe2 after structural relaxation at the PBE-GGA level of DFT.

Summary:
Volume = 739.2 Å³ per cell
Size of the total moment = 0.00 μB per formula unit
Crystal system = orthorhombic
DFT formation energy = -0.5924 eV/atom
D(E_F) = 15.64 states/eV/cell
Space group = Pnma (62)
Offset from the most stable computed form = 0.000 eV per atom

Lattice parameters (Å, degrees): 12.683 4.446 13.108 90.00 90.00 90.00
Element x y z (fractional)
Ac (0.071, 0.250, 0.115)
Ac (0.118, 0.750, 0.555)
Ac (0.193, 0.250, 0.791)
Ac (0.307, 0.750, 0.291)
Ac (0.382, 0.250, 0.055)
Ac (0.429, 0.750, 0.615)
Ac (0.571, 0.250, 0.385)
Ac (0.618, 0.750, 0.945)
Ac (0.693, 0.250, 0.709)
Ac (0.807, 0.750, 0.209)
Ac (0.882, 0.250, 0.445)
Ac (0.929, 0.750, 0.885)
Al (0.134, 0.250, 0.366)
Al (0.366, 0.750, 0.866)
Al (0.634, 0.250, 0.134)
Al (0.866, 0.750, 0.634)
Ge (0.038, 0.750, 0.312)
Ge (0.193, 0.750, 0.977)
Ge (0.307, 0.250, 0.477)
Ge (0.462, 0.250, 0.812)
Ge (0.538, 0.750, 0.188)
Ge (0.693, 0.750, 0.523)
Ge (0.807, 0.250, 0.023)
Ge (0.962, 0.250, 0.688)



Which of these has the highest DFT formation energy?
AcAl2Ge2



Which of these has the highest D(E_F)?
Ac3AlGe2